Entry from the Alexandria database: a relaxed TlVP2O8 crystal (PBE with a Hubbard U).

Cell lengths 9.193, 9.193, 9.193 Å; angles 30.85, 30.85, 30.85 degrees
Element x y z (fractional)
Tl 0.000 0.000 0.000
V 0.500 0.500 0.500
P 0.230 0.230 0.230
P 0.770 0.770 0.770
O 0.114 0.732 0.529
O 0.268 0.471 0.886
O 0.288 0.288 0.288
O 0.471 0.886 0.268
O 0.529 0.114 0.732
O 0.712 0.712 0.712
O 0.732 0.529 0.114
O 0.886 0.268 0.471

Properties
Total moment ... 0.000 Bohr magnetons per cell
Calculated total energy ... -6.95 eV/atom
ρ ... 4.081 Mg/m³